1.
The following is a DFT calculation (GGA-PBE) of LuZnSb2 after structural relaxation.

Cell: 4.8134 4.8134 4.0749 Å, 90.00 90.00 90.00°
Fractional positions:
Lu 0.0000 0.0000 0.0000
Zn 0.5000 0.5000 0.0000
Sb 0.0000 0.5000 0.5000
Sb 0.5000 0.0000 0.5000

Output
* crystal system: tetragonal
* space group: No. 123
* DOS(E_F): 1.5 states/eV/cell

2.
The following is a DFT calculation (GGA-PBE) of LuZrSb after structural relaxation.

Cell: 8.6846 8.6846 8.6846 Å, 151.62 151.62 40.57°
Fractional positions:
Lu 0.1746 0.1746 0.0000
Lu 0.8254 0.8254 0.0000
Zr 0.0000 0.5000 0.5000
Zr 0.5000 0.0000 0.5000
Sb 0.3634 0.3634 0.0000
Sb 0.6366 0.6366 0.0000

Output
* crystal system: tetragonal
* space group: No. 139
* excess energy over the best structure of this formula in the dataset: 0.000 eV per atom
* DOS(E_F): 6.5 states/eV/cell

| no. | energy (eV per cell) |
| --- | --- |
| 1 | -15.41 |
| 2 | -38.81 |